(1)
A PBEsol-optimized structure of TaCd2Fe, computed with meta-GGA SCAN.

a b c (Å): 6.451 6.451 6.451
angles (deg): 90.00 90.00 90.00
Space group Fm-3m (No. 225)
One atom of each set of equivalent atoms:
Ta 0.000 0.000 0.000
Cd 0.250 0.250 0.250
Fe 0.000 0.000 0.500

V: 268.5 Å³/cell
Energy of formation from the pure elements: 226 kJ/mol of formula units
Polymorph energy (0 for the lowest one): 403 meV/atom

(2)
A PBEsol-optimized structure of RbTi3In, computed with meta-GGA SCAN.

a b c (Å): 4.652 4.652 4.652
angles (deg): 90.00 90.00 90.00
Space group Pm-3m (No. 221)
One atom of each set of equivalent atoms:
Rb 0.000 0.000 0.000
Ti 0.000 0.000 0.500
In 0.500 0.500 0.500

V: 100.7 Å³/cell
Energy of formation from the pure elements: 898 kJ/mol of formula units

(3)
A PBEsol-optimized structure of Li2CuPO4, computed with meta-GGA SCAN.

a b c (Å): 5.068 10.782 7.823
angles (deg): 90.00 129.49 90.00
Space group P2_1/c (No. 14)
One atom of each set of equivalent atoms:
Li 0.054 0.073 0.258
Li 0.199 0.164 0.003
Cu 0.292 0.671 0.006
P 0.451 0.089 0.754
O 0.155 0.083 0.764
O 0.231 0.653 0.534
O 0.329 0.161 0.543
O 0.435 0.044 0.250

V: 329.9 Å³/cell
Formation energy from raw total energies: -1663 kJ/mol of formula units
Polymorph energy (0 for the lowest one): 18 meV/atom

(4)
A PBEsol-optimized structure of In3IrCl, computed with meta-GGA SCAN.

a b c (Å): 10.219 10.256 5.135
angles (deg): 90.00 90.00 90.00
Space group Cmmm (No. 65)
One atom of each set of equivalent atoms:
In 0.000 0.000 0.000
In 0.000 0.227 0.500
In 0.000 0.500 0.000
In 0.250 0.250 0.000
Ir 0.000 0.252 0.000
Cl 0.195 0.000 0.500

V: 538.2 Å³/cell
Formation energy from raw total energies: -272 kJ/mol of formula units